(1)
10
Lattice="3.9310 0.0000 0.0000 0.0000 7.4569 0.4951 0.0000 -0.6208 7.9222" Properties=species:S:1:pos:R:3 comment="GGA-PBE AcTlBrO2, relaxed" magnetic_moment_mub_per_fu=0.796 total_energy_ry_per_atom=-0.4013 formation_energy_uncorrected_ev_per_atom=-1.848 pbc="T T T"
Ac 0.9828 0.4209 5.5329
O 2.9483 2.0226 4.8164
Tl 0.9828 2.6628 2.7427
Br 2.9483 1.7207 0.2867
Tl 2.9483 4.1733 5.6746
O 2.9483 6.5265 5.3874
O 0.9828 4.8135 3.6009
Br 0.9828 5.1154 8.1306
Ac 2.9483 6.4152 2.8844
O 0.9828 0.3096 3.0299

(2)
16
Lattice="6.0129 0.0000 0.0000 3.0065 7.2155 0.0000 3.0065 0.0000 12.7728" Properties=species:S:1:pos:R:3 comment="GGA-PBE Cs2ScAlS4, relaxed" magnetic_moment_mub_per_fu=0.000 total_energy_ry_per_atom=-0.3688 formation_energy_uncorrected_ev_per_atom=-1.482 pbc="T T T"
Cs 3.0065 0.0000 8.2479
S 4.6240 5.9055 1.2537
S 9.1337 4.9177 7.6400
S 4.3954 1.3100 1.2537
Al 3.0065 0.0000 0.0000
Sc 0.0000 0.0000 0.0000
S 5.8986 4.9177 5.1327
S 4.6240 1.3100 11.5191
Cs 7.5162 3.6078 10.9113
S 5.8986 2.2978 7.6400
Sc 7.5162 3.6078 6.3864
S 10.4083 5.9055 11.5191
Cs 7.5162 3.6078 1.8615
S 3.1208 2.2978 5.1327
Al 4.5097 3.6078 6.3864
Cs 6.0129 0.0000 4.5249

(3)
4
Lattice="6.0092 -0.0490 0.0000 3.0958 5.1506 0.0000 -4.5525 -2.5508 2.9801" Properties=species:S:1:pos:R:3 comment="GGA-PBE MgSiSb2, relaxed" magnetic_moment_mub_per_fu=0.000 total_energy_ry_per_atom=-0.2637 formation_energy_uncorrected_ev_per_atom=0.228 pbc="T T T"
Sb 0.0000 0.0000 0.0000
Sb 1.5479 2.5753 1.4901
Mg 3.0046 -0.0245 1.4901
Si 4.5525 2.5508 0.0000

(4)
19
Lattice="-4.0383 -7.2336 2.7517 5.2114 -1.9558 -6.7247 4.7732 3.3232 6.5099" Properties=species:S:1:pos:R:3 comment="GGA-PBE Tb12Zn6Pb, relaxed" magnetic_moment_mub_per_fu=0.000 total_energy_ry_per_atom=-0.2742 formation_energy_kj_per_mol_fu=-384 pbc="T T T"
Tb 3.6757 -3.4501 3.7371
Zn 4.3545 -4.0787 -2.0676
Tb -1.2681 -6.0796 0.9003
Tb 2.2704 -2.4161 -1.2003
Tb 2.7592 -6.2451 -2.8557
Tb 3.0540 -0.3564 1.7260
Zn 0.8101 -5.4232 3.1314
Tb 0.7470 -4.5446 5.7929
Tb 5.1991 -1.3216 -3.2561
Tb 3.1870 0.3789 5.3926
Zn 1.5917 -1.7875 4.6044
Tb 2.8921 -5.5098 0.8108
Tb 0.4409 -2.9153 1.9339
Zn 5.2696 -0.7920 3.3877
Pb 0.0000 0.0000 0.0000
Zn 0.6766 -5.0742 -0.8509
Tb 5.5053 -2.9509 0.6029
Zn 5.1361 -0.4431 -0.5946
Tb 7.2143 0.2134 1.6365

(5)
9
Lattice="-2.6731 2.4504 -0.6933 -6.0078 -3.2868 1.7168 -3.2467 0.9911 6.1904" Properties=species:S:1:pos:R:3 comment="GGA-PBE TbZn6Ni2, relaxed" magnetic_moment_mub_per_fu=0.000 total_energy_ry_per_atom=-0.2008 formation_energy_kj_per_mol_fu=-73 pbc="T T T"
Tb 0.0000 0.0000 0.0000
Ni -3.8469 -0.5851 2.9338
Zn -6.4360 -0.6542 2.8419
Zn -5.4917 0.8089 4.3720
Ni -8.0808 0.7398 4.2801
Zn -8.8204 0.6381 6.7722
Zn -2.0649 1.1316 2.1307
Zn -9.8628 -0.9769 5.0832
Zn -3.1073 -0.4834 0.4417

(6)
4
Lattice="-3.7898 -1.1010 2.3490 -1.3132 -2.7722 -3.4180 5.0201 -7.8358 4.4267" Properties=species:S:1:pos:R:3 comment="GGA-PBE KBaCa2, relaxed" relative_energy_kj_per_mol_fu=4 magnetic_moment_mub_per_fu=0.318 total_energy_ry_per_atom=-0.1216 formation_energy_kj_per_mol_fu=39 pbc="T T T"
Ca -1.4819 -3.6061 0.4087
Ba 1.3914 -8.0911 2.9424
K 2.3900 -3.7305 2.1075
Ca 0.1276 -0.1991 0.1125

(7)
4
Lattice="-3.5075 -1.0155 -0.3361 1.3515 -4.3170 -1.0610 -0.1019 -1.1388 4.5035" Properties=species:S:1:pos:R:3 comment="GGA-PBE YBiRh2, relaxed" magnetic_moment_mub_per_fu=0.000 total_energy_ry_per_atom=-0.4995 formation_energy_kj_per_mol_fu=-206 pbc="T T T"
Rh -0.0509 -0.5694 2.2518
Y -1.7538 -0.5077 -0.1681
Bi -1.1289 -3.2356 1.5532
Rh 0.6758 -2.1585 -0.5305

(8)
4
Lattice="5.3083 -0.0058 -0.0110 1.2435 5.1606 0.0110 -3.2697 -2.5853 3.2869" Properties=species:S:1:pos:R:3 comment="GGA-PBE Li2SbPb, relaxed" relative_energy_kj_per_mol_fu=3 magnetic_moment_mub_per_fu=0.000 total_energy_ry_per_atom=-0.2407 formation_energy_uncorrected_ev_per_atom=-0.361 pbc="T T T"
Li 0.0010 0.0008 0.0000
Pb 2.6572 -0.0068 1.6380
Sb 0.6248 2.5764 1.6489
Li 3.2749 2.5766 0.0000

(9)
5
Lattice="-3.5123 -2.1540 1.7436 1.1436 -3.7426 -2.3199 2.5328 -1.3527 3.4309" Properties=species:S:1:pos:R:3 comment="GGA-PBE HfFeCo2Ir, relaxed" magnetic_moment_mub_per_fu=5.763 total_energy_ry_per_atom=-0.5364 formation_energy_kj_per_mol_fu=482 pbc="T T T"
Ir 0.0000 0.0000 0.0000
Co 1.2664 -0.6764 1.7155
Fe 0.5718 -1.8713 -1.1599
Hf 0.0821 -3.6247 1.4273
Co -1.7561 -1.0770 0.8718

(10)
4
Lattice="4.9488 0.0000 0.0000 0.0000 2.8544 -0.0257 0.0000 1.1682 6.2243" Properties=species:S:1:pos:R:3 comment="GGA-PBE KHgPt2, relaxed" magnetic_moment_mub_per_fu=0.000 total_energy_ry_per_atom=-0.2353 formation_energy_kj_per_mol_fu=65 pbc="T T T"
Hg 2.4744 1.0057 1.5496
Pt 0.0000 0.2616 0.3814
Pt 0.0000 1.7498 2.7179
K 2.4744 3.0170 4.6489

(11)
9
Lattice="3.5368 0.0000 0.0000 0.0000 6.8884 -3.9770 0.0000 0.0000 7.9540" Properties=species:S:1:pos:R:3 comment="GGA-PBE NdDy2Al6, relaxed" relative_energy_kj_per_mol_fu=0 magnetic_moment_mub_per_fu=0.000 total_energy_ry_per_atom=-0.3328 formation_energy_kj_per_mol_fu=-417 pbc="T T T"
Al 1.7684 4.5776 5.3111
Al 1.7684 0.0000 5.2858
Al 1.7684 2.3107 -1.3341
Al 1.7684 4.5776 2.6429
Al 1.7684 0.0000 2.6682
Dy 3.5368 4.5922 0.0000
Nd 0.0000 0.0000 7.9540
Dy 0.0000 2.2961 3.9770
Al 1.7684 2.3107 1.3341

(12)
4
Lattice="4.9722 -0.0259 -0.1850 -0.3853 4.4470 0.0078 1.5408 1.6204 5.1821" Properties=species:S:1:pos:R:3 comment="GGA-PBE TlAgSe2, relaxed" magnetic_moment_mub_per_fu=0.000 total_energy_ry_per_atom=-0.2352 formation_energy_uncorrected_ev_per_atom=-0.154 pbc="T T T"
Tl 2.0672 1.5644 4.3359
Se 4.5628 3.5594 3.3257
Ag 3.7087 0.6529 1.6842
Se 2.6008 2.5998 0.4425